This record from the Alexandria database describes a relaxed Sn2SeBr crystal. The functional is GGA-PBE.

Lattice parameters (Å, degrees): 9.2514 9.2514 7.1731 105.96 105.96 115.79
Fractional coordinates of all 16 atoms:
Sn1 0.0444 0.4206 0.2800
Sn2 0.1757 0.3058 0.7216
Sn3 0.3058 0.1757 0.2216
Sn4 0.4206 0.0444 0.7800
Sn5 0.5794 0.9556 0.2200
Sn6 0.6942 0.8243 0.7784
Sn7 0.8243 0.6942 0.2784
Sn8 0.9556 0.5794 0.7200
Se1 0.0630 0.9370 0.7500
Se2 0.3119 0.6881 0.7500
Se3 0.6881 0.3119 0.2500
Se4 0.9370 0.0630 0.2500
Br1 0.1836 0.8164 0.2500
Br2 0.4428 0.5572 0.2500
Br3 0.5572 0.4428 0.7500
Br4 0.8164 0.1836 0.7500

The uncorrected formation energy comes out at -342 meV per atom. Its crystal system is monoclinic. Its total magnetization is 0.00 μB/f.u. The calculation puts the energy above the most stable polymorph in this dataset at 0.006 eV/atom.